Material: K4FeO4
Method: DFT, PBE with a Hubbard U
State: optimized geometry

Computed properties:
density: 2.714 g/cm³
final energy: -4.622 eV/atom

Cell: 7.404 7.404 6.165 Å, 90.00 90.00 90.00°
Space group P4_2/nmc (No. 137, origin choice 2)
Asymmetric unit:
K 0.031 0.250 0.124 x8
Fe 0.250 0.750 0.250 x2
O 0.052 0.750 0.435 x8